Entry 1:
This record from Alexandria via LeMat-Bulk describes crystalline Dy8Ho3Zr at its relaxed geometry. The functional is PBE-GGA.

The formation energy from the elements is 3.8 kJ/mol of atoms. The value obtained for the raw total energy is -4.885 eV per atom.

It has space group C2/m (No. 12), with a = 9.950 Å, b = 9.900 Å, c = 7.817 Å, α = 90.00°, β = 108.67° and γ = 90.00°. The inequivalent atoms are Dy at (0.082, 0.245, 0.327), Dy at (0.164, 0.000, 0.676), Dy at (0.173, 0.500, 0.672), Ho at (0.000, 0.500, 0.000), Ho at (0.250, 0.250, 0.000) and Zr at (0.000, 0.000, 0.000).

Entry 2:
This record from Alexandria via LeMat-Bulk describes crystalline SmY2Tl at its relaxed geometry. The functional is PBE-GGA.

The formation energy from the elements is 7.8 kJ/mol of atoms. For the energy above the most stable polymorph in this dataset, the calculation gives 277 meV/atom. The value obtained for the raw total energy is -4.923 eV per atom.

It has space group R-3m (No. 166, hexagonal axes), with a = 3.5791 Å, b = 3.5791 Å, c = 36.2141 Å, α = 90.00°, β = 90.00° and γ = 120.00°. The inequivalent atoms are Sm at (0.0000, 0.0000, 0.0000), Y at (0.0000, 0.0000, 0.4121) and Tl at (0.0000, 0.0000, 0.5000).

Entry 3:
This record from Alexandria via LeMat-Bulk describes crystalline Be2IrW2 at its relaxed geometry. The functional is PBE-GGA.

The formation energy from the elements is 50.2 kJ/mol of atoms. For the energy above the most stable polymorph in this dataset, the calculation gives 728 meV/atom. The value obtained for the raw total energy is -7.924 eV per atom.

It has space group P4/mbm (No. 127), with a = 6.991 Å, b = 6.991 Å, c = 2.747 Å, α = 90.00°, β = 90.00° and γ = 90.00°. The inequivalent atoms are Be at (0.170, 0.330, 0.000), Ir at (0.000, 0.000, 0.500) and W at (0.129, 0.629, 0.500).

Entry 4:
This record from Alexandria via LeMat-Bulk describes crystalline KMn2Pd at its relaxed geometry. The functional is PBE-GGA.

The formation energy from the elements is 73.8 kJ/mol of atoms. For the energy above the most stable polymorph in this dataset, the calculation gives 11 meV/atom. The value obtained for the raw total energy is -5.393 eV per atom.

It has space group Fm-3m (No. 225), with a = 6.820 Å, b = 6.820 Å, c = 6.820 Å, α = 90.00°, β = 90.00° and γ = 90.00°. The inequivalent atoms are K at (0.000, 0.000, 0.000), Mn at (0.250, 0.250, 0.250) and Pd at (0.000, 0.000, 0.500).

Entry 5:
This record from Alexandria via LeMat-Bulk describes crystalline La2TlCo at its relaxed geometry. The functional is PBE-GGA.

The formation energy from the elements is 3.3 kJ/mol of atoms. The value obtained for the raw total energy is -4.797 eV per atom.

It has space group F-43m (No. 216), with a = 7.226 Å, b = 7.226 Å, c = 7.226 Å, α = 90.00°, β = 90.00° and γ = 90.00°. The inequivalent atoms are La at (0.000, 0.000, 0.000), La at (0.250, 0.250, 0.250), Tl at (0.250, 0.250, 0.750) and Co at (0.000, 0.000, 0.500).

Entry 6:
This record from Alexandria via LeMat-Bulk describes crystalline Nd2Si4OsPt3 at its relaxed geometry. The functional is PBE-GGA.

For the raw formation energy, the calculation gives -1033 meV/atom. The value obtained for the raw total energy is -7.091 eV per atom.

It has space group P-4m2 (No. 115), with a = 4.211 Å, b = 4.211 Å, c = 9.995 Å, α = 90.00°, β = 90.00° and γ = 90.00°. The inequivalent atoms are Nd at (0.000, 0.500, 0.244), Si at (0.000, 0.000, 0.000), Si at (0.000, 0.500, 0.629), Si at (0.500, 0.500, 0.000), Os at (0.000, 0.000, 0.500), Pt at (0.000, 0.500, 0.875) and Pt at (0.500, 0.500, 0.500).

What is the raw total energy in the fourth record?
-5.393 eV per atom

What is the raw total energy in the third record?
-7.924 eV per atom